1.
Compound: Sc5TiTl6
Source: Alexandria via LeMat-Bulk
Functional: PBE-GGA
Structure: optimized geometry

As for the formation energy: -1.98 eV per formula unit. For the volume, the calculation gives 274.9 Å³/f.u. The space group is C2/m (12). For the magnetic moment, the calculation gives 0.7 μB/cell. The uncorrected energy comes out at -55.73 eV for the cell shown.

```
data_Sc5TiTl6
_cell_length_a 5.0631
_cell_length_b 8.7674
_cell_length_c 8.7674
_cell_angle_alpha 120.01
_cell_angle_beta 106.81
_cell_angle_gamma 106.81
_symmetry_space_group_name_H-M 'P 1'
_symmetry_Int_Tables_number 1
loop_
_symmetry_equiv_pos_as_xyz
'x,y,z'
loop_
_atom_site_label
_atom_site_type_symbol
_atom_site_fract_x
_atom_site_fract_y
_atom_site_fract_z
Tl1 Tl 0.7477 0.2479 0.2479
Tl2 Tl 0.2491 0.0838 0.4143
Tl3 Tl 0.2523 0.7521 0.7521
Tl4 Tl 0.2491 0.4143 0.0838
Tl5 Tl 0.7509 0.5857 0.9162
Tl6 Tl 0.7509 0.9162 0.5857
Sc1 Sc 0.0000 0.3320 0.6680
Sc2 Sc 0.5000 0.8365 0.1635
Sc3 Sc 0.0000 0.6680 0.3320
Sc4 Sc 0.5000 0.5000 0.5000
Sc5 Sc 0.5000 0.1635 0.8365
Ti1 Ti 0.0000 0.0000 0.0000
```



2.
Compound: ScTi3Tl
Source: Alexandria via LeMat-Bulk
Functional: PBE-GGA
Structure: optimized geometry

As for the formation energy: 5.68 eV per formula unit. For the volume, the calculation gives 132.4 Å³/f.u. The energy above the most stable polymorph in this dataset comes out at 29 meV/atom. The space group is Pm-3m (221). For the magnetic moment, the calculation gives 4.0 μB/cell. The uncorrected energy comes out at -26.70 eV for the cell shown.

```
data_ScTi3Tl
_cell_length_a 5.0966
_cell_length_b 5.0966
_cell_length_c 5.0966
_cell_angle_alpha 90.00
_cell_angle_beta 90.00
_cell_angle_gamma 90.00
_symmetry_space_group_name_H-M 'P 1'
_symmetry_Int_Tables_number 1
loop_
_symmetry_equiv_pos_as_xyz
'x,y,z'
loop_
_atom_site_label
_atom_site_type_symbol
_atom_site_fract_x
_atom_site_fract_y
_atom_site_fract_z
Ti1 Ti 0.0000 0.0000 0.5000
Ti2 Ti 0.5000 0.0000 0.0000
Ti3 Ti 0.0000 0.5000 0.0000
Sc1 Sc 0.5000 0.5000 0.5000
Tl1 Tl 0.0000 0.0000 0.0000
```



3.
Compound: ScTiTl
Source: Alexandria via LeMat-Bulk
Functional: PBE-GGA
Structure: optimized geometry

As for the formation energy: 0.44 eV per formula unit. For the volume, the calculation gives 63.5 Å³/f.u. The energy above the most stable polymorph in this dataset comes out at 62 meV/atom. The space group is P3m1 (156). For the magnetic moment, the calculation gives 2.1 μB/cell. The uncorrected energy comes out at -16.15 eV for the cell shown.

```
data_ScTiTl
_cell_length_a 3.0588
_cell_length_b 4.8965
_cell_length_c 4.8965
_cell_angle_alpha 120.00
_cell_angle_beta 90.00
_cell_angle_gamma 90.00
_symmetry_space_group_name_H-M 'P 1'
_symmetry_Int_Tables_number 1
loop_
_symmetry_equiv_pos_as_xyz
'x,y,z'
loop_
_atom_site_label
_atom_site_type_symbol
_atom_site_fract_x
_atom_site_fract_y
_atom_site_fract_z
Tl1 Tl 0.6667 0.6667 0.3333
Ti1 Ti 0.1651 0.3333 0.6667
Sc1 Sc 0.1682 0.0000 0.0000
```



4.
Compound: Sc2Ti2Tl
Source: Alexandria via LeMat-Bulk
Functional: PBE-GGA
Structure: optimized geometry

As for the formation energy: 0.34 eV per formula unit. For the volume, the calculation gives 106.9 Å³/f.u. The energy above the most stable polymorph in this dataset comes out at 0 meV/atom. The space group is P4/mbm (127). For the magnetic moment, the calculation gives 0.0 μB/cell. The uncorrected energy comes out at -60.97 eV for the cell shown.

```
data_Sc2Ti2Tl
_cell_length_a 7.3257
_cell_length_b 7.3257
_cell_length_c 3.9844
_cell_angle_alpha 90.00
_cell_angle_beta 90.00
_cell_angle_gamma 90.00
_symmetry_space_group_name_H-M 'P 1'
_symmetry_Int_Tables_number 1
loop_
_symmetry_equiv_pos_as_xyz
'x,y,z'
loop_
_atom_site_label
_atom_site_type_symbol
_atom_site_fract_x
_atom_site_fract_y
_atom_site_fract_z
Sc1 Sc 0.6585 0.8415 0.5000
Sc2 Sc 0.8415 0.3415 0.5000
Sc3 Sc 0.1585 0.6585 0.5000
Sc4 Sc 0.3415 0.1585 0.5000
Tl1 Tl 0.5000 0.5000 0.0000
Tl2 Tl 0.0000 0.0000 0.0000
Ti1 Ti 0.8684 0.6316 0.0000
Ti2 Ti 0.3684 0.8684 0.0000
Ti3 Ti 0.1316 0.3684 0.0000
Ti4 Ti 0.6316 0.1316 0.0000
```



5.
Compound: Sc2TiTlV
Source: Alexandria via LeMat-Bulk
Functional: PBE-GGA
Structure: optimized geometry

As for the formation energy: 2.41 eV per formula unit. For the volume, the calculation gives 114.2 Å³/f.u. The space group is P4/mmm (123). For the magnetic moment, the calculation gives 0.0 μB/cell. The uncorrected energy comes out at -29.64 eV for the cell shown.

```
data_Sc2TiTlV
_cell_length_a 5.0751
_cell_length_b 4.4328
_cell_length_c 5.0751
_cell_angle_alpha 90.00
_cell_angle_beta 90.00
_cell_angle_gamma 90.00
_symmetry_space_group_name_H-M 'P 1'
_symmetry_Int_Tables_number 1
loop_
_symmetry_equiv_pos_as_xyz
'x,y,z'
loop_
_atom_site_label
_atom_site_type_symbol
_atom_site_fract_x
_atom_site_fract_y
_atom_site_fract_z
Tl1 Tl 0.5000 0.5000 0.5000
V1 V 0.0000 0.0000 0.0000
Sc1 Sc 0.0000 0.0000 0.5000
Sc2 Sc 0.5000 0.0000 0.0000
Ti1 Ti 0.0000 0.5000 0.0000
```



6.
Compound: TmScTi
Source: Alexandria via LeMat-Bulk
Functional: PBE-GGA
Structure: optimized geometry

As for the formation energy: 0.46 eV per formula unit. For the volume, the calculation gives 70.6 Å³/f.u. The energy above the most stable polymorph in this dataset comes out at 0 meV/atom. The space group is P-6m2 (187). For the magnetic moment, the calculation gives 1.4 μB/cell. The uncorrected energy comes out at -18.24 eV for the cell shown.

```
data_TmScTi
_cell_length_a 3.1807
_cell_length_b 5.0623
_cell_length_c 5.0623
_cell_angle_alpha 120.00
_cell_angle_beta 90.00
_cell_angle_gamma 90.00
_symmetry_space_group_name_H-M 'P 1'
_symmetry_Int_Tables_number 1
loop_
_symmetry_equiv_pos_as_xyz
'x,y,z'
loop_
_atom_site_label
_atom_site_type_symbol
_atom_site_fract_x
_atom_site_fract_y
_atom_site_fract_z
Ti1 Ti 0.1665 0.3333 0.6667
Tm1 Tm 0.6667 0.6667 0.3333
Sc1 Sc 0.1669 0.0000 0.0000
```



7.
Compound: TmScTi4
Source: Alexandria via LeMat-Bulk
Functional: PBE-GGA
Structure: optimized geometry

As for the formation energy: 1.36 eV per formula unit. For the volume, the calculation gives 129.3 Å³/f.u. The space group is F-43m (216). For the magnetic moment, the calculation gives 8.3 μB/cell. The uncorrected energy comes out at -41.02 eV for the cell shown.

```
data_TmScTi4
_cell_length_a 5.6761
_cell_length_b 5.6761
_cell_length_c 5.6761
_cell_angle_alpha 60.00
_cell_angle_beta 60.00
_cell_angle_gamma 60.00
_symmetry_space_group_name_H-M 'P 1'
_symmetry_Int_Tables_number 1
loop_
_symmetry_equiv_pos_as_xyz
'x,y,z'
loop_
_atom_site_label
_atom_site_type_symbol
_atom_site_fract_x
_atom_site_fract_y
_atom_site_fract_z
Tm1 Tm 0.2500 0.2500 0.2500
Ti1 Ti 0.1227 0.6258 0.6258
Ti2 Ti 0.6258 0.6258 0.6258
Ti3 Ti 0.6258 0.1227 0.6258
Ti4 Ti 0.6258 0.6258 0.1227
Sc1 Sc 0.0000 0.0000 0.0000
```



8.
Compound: TmScTi
Source: Alexandria via LeMat-Bulk
Functional: PBE-GGA
Structure: optimized geometry

As for the formation energy: 0.58 eV per formula unit. For the volume, the calculation gives 75.3 Å³/f.u. The energy above the most stable polymorph in this dataset comes out at 39 meV/atom. The space group is I4/mmm (139). For the magnetic moment, the calculation gives 0.0 μB/cell. The uncorrected energy comes out at -36.24 eV for the cell shown.

```
data_TmScTi
_cell_length_a 3.3746
_cell_length_b 3.3746
_cell_length_c 13.4366
_cell_angle_alpha 97.21
_cell_angle_beta 97.21
_cell_angle_gamma 90.00
_symmetry_space_group_name_H-M 'P 1'
_symmetry_Int_Tables_number 1
loop_
_symmetry_equiv_pos_as_xyz
'x,y,z'
loop_
_atom_site_label
_atom_site_type_symbol
_atom_site_fract_x
_atom_site_fract_y
_atom_site_fract_z
Sc1 Sc 0.8428 0.8428 0.6855
Sc2 Sc 0.1572 0.1572 0.3145
Tm1 Tm 0.4359 0.4359 0.8719
Tm2 Tm 0.5641 0.5641 0.1281
Ti1 Ti 0.2716 0.2716 0.5431
Ti2 Ti 0.7284 0.7284 0.4569
```



9.
Compound: TmScTiZn
Source: Alexandria via LeMat-Bulk
Functional: PBE-GGA
Structure: optimized geometry

As for the formation energy: 0.12 eV per formula unit. For the volume, the calculation gives 84.8 Å³/f.u. The space group is F-43m (216). For the magnetic moment, the calculation gives 2.6 μB/cell. The uncorrected energy comes out at -19.85 eV for the cell shown.

```
data_TmScTiZn
_cell_length_a 4.9320
_cell_length_b 4.9320
_cell_length_c 4.9320
_cell_angle_alpha 60.00
_cell_angle_beta 60.00
_cell_angle_gamma 60.00
_symmetry_space_group_name_H-M 'P 1'
_symmetry_Int_Tables_number 1
loop_
_symmetry_equiv_pos_as_xyz
'x,y,z'
loop_
_atom_site_label
_atom_site_type_symbol
_atom_site_fract_x
_atom_site_fract_y
_atom_site_fract_z
Ti1 Ti 0.5000 0.5000 0.5000
Zn1 Zn 0.0000 0.0000 0.0000
Tm1 Tm 0.7500 0.7500 0.7500
Sc1 Sc 0.2500 0.2500 0.2500
```



10.
Compound: TmZrScTi
Source: Alexandria via LeMat-Bulk
Functional: PBE-GGA
Structure: optimized geometry

As for the formation energy: 0.71 eV per formula unit. For the volume, the calculation gives 93.8 Å³/f.u. The space group is F-43m (216). For the magnetic moment, the calculation gives 2.5 μB/cell. The uncorrected energy comes out at -26.53 eV for the cell shown.

```
data_TmZrScTi
_cell_length_a 5.1004
_cell_length_b 5.1004
_cell_length_c 5.1004
_cell_angle_alpha 60.00
_cell_angle_beta 60.00
_cell_angle_gamma 60.00
_symmetry_space_group_name_H-M 'P 1'
_symmetry_Int_Tables_number 1
loop_
_symmetry_equiv_pos_as_xyz
'x,y,z'
loop_
_atom_site_label
_atom_site_type_symbol
_atom_site_fract_x
_atom_site_fract_y
_atom_site_fract_z
Zr1 Zr 0.0000 0.0000 0.0000
Ti1 Ti 0.2500 0.2500 0.2500
Sc1 Sc 0.7500 0.7500 0.7500
Tm1 Tm 0.5000 0.5000 0.5000
```